The following is a PBE calculation of an optimized crystal structure of NaScZn3, from Alexandria. Values from VASP.

Structure (Quantum ESPRESSO input):
```
&SYSTEM
  ibrav = 0, nat = 5, ntyp = 3
/
ATOMIC_SPECIES
Zn 65.41 Zn.upf
Na 22.99 Na.upf
Sc 44.96 Sc.upf
CELL_PARAMETERS angstrom
5.332 0.000 0.000
0.000 5.332 0.000
0.000 0.000 5.332
ATOMIC_POSITIONS angstrom
Zn 0.000 2.666 0.000
Na 2.666 2.666 2.666
Sc 0.000 0.000 0.000
Zn 0.000 0.000 2.666
Zn 2.666 0.000 0.000
```

Raw total energy = -8.96 eV per cell
E above lowest polymorph = 0.0 meV per atom
DOS(E_F) = 4.166 states/eV/f.u.